No. 1
Material: Dy3Co29Si4B10
Method: DFT, PBEsol
State: optimized geometry

```
92
Lattice="-5.580 -5.059 1.641 3.242 -6.293 -8.373 6.835 -5.371 6.683" Properties=species:S:1:pos:R:3 pbc="T T T"
Dy 4.140 -6.062 -4.609
Dy 2.519 -2.916 -0.423
Dy 2.249 -8.361 -0.024
Dy 7.558 -8.747 -1.268
Dy 5.937 -5.601 2.919
Dy -2.790 -2.529 0.821
Co -0.783 -3.858 2.597
Co 1.445 -5.577 -0.105
Co 2.494 -7.613 -2.814
Co -3.125 -6.714 3.835
Co -0.337 -7.222 0.625
Co 0.795 -9.419 -2.298
Co 4.103 -8.884 -4.427
Co 1.613 -4.051 2.004
Co 3.669 -5.804 -1.396
Co 1.648 -11.231 -3.698
Co -0.880 -6.324 2.831
Co 0.708 -12.855 -2.060
Co 3.278 -9.941 -2.347
Co 0.815 -5.044 4.107
Co -0.277 -9.638 1.533
Co 0.434 -11.019 -0.305
Co -1.467 -8.633 3.557
Co 1.513 -6.515 2.212
Co 3.153 -12.414 -2.226
Co 0.625 -7.507 4.303
Co 5.169 -6.983 0.071
Co 5.688 -10.130 -2.878
Co 3.198 -5.296 3.554
Co 1.875 -8.960 2.787
Co 3.007 -11.157 -0.136
Co -0.876 -8.481 6.035
Co 3.831 -7.452 2.228
Co 4.880 -9.488 -0.481
Co 2.331 -6.305 5.641
Co 3.962 -9.956 1.838
Co 4.656 -13.066 -0.412
Co 2.463 -8.809 5.251
Co 7.169 -7.780 1.444
Co 6.529 -11.397 -0.758
Co 4.419 -7.301 4.692
Co 3.096 -10.965 3.925
Co 3.848 -12.424 1.984
Co 1.125 -9.278 7.408
Co 5.668 -8.754 3.176
Co 6.382 -10.140 1.332
Co 1.993 -4.329 -5.517
Co -0.577 -7.242 -5.230
Co 2.267 -6.164 -7.272
Co -0.264 -1.253 -0.737
Co -2.054 -4.375 -1.415
Co 0.926 -2.258 -2.761
Co -1.357 -5.846 -3.311
Co 0.339 -4.566 -2.035
Co 1.053 -5.952 -3.879
Co -4.210 -5.086 2.192
Co -2.154 -6.840 -1.208
Co -1.402 -8.299 -3.150
Co 1.906 -7.764 -5.278
Co -0.204 -3.668 0.172
Co 2.584 -4.177 -3.039
Co 0.207 -9.570 -4.762
Co -1.986 -5.313 0.901
Co 0.241 -7.032 -1.800
Si -0.810 -9.019 -0.714
Si 3.465 -5.571 0.974
Si 4.650 -7.872 -2.087
Si 1.689 -10.983 1.729
Si 4.604 -5.278 5.750
Si -1.949 -9.312 -5.489
Si -4.006 -5.320 -0.178
Si 0.269 -1.871 1.510
B 2.107 -9.256 -3.928
B 0.065 -5.292 1.345
B 1.902 -5.854 -2.042
B 2.809 -3.237 3.520
B -1.326 -6.986 4.737
B 0.138 -8.024 2.406
B 1.719 -11.092 -1.678
B 5.236 -8.473 1.217
B 4.637 -11.244 -1.454
B 2.595 -7.281 3.819
B 3.698 -8.980 3.660
B 4.899 -11.310 0.560
B 1.058 -7.788 6.262
B 0.982 -6.091 -5.899
B -0.679 -2.867 -1.609
B 0.785 -3.904 -3.941
B -3.351 -7.654 -2.724
B -2.444 -5.036 2.838
B 0.594 -7.928 -3.649
B -0.606 -5.598 -0.549
```

Computed properties:
- Space group: P4/nmm
- Magnetization: 31.70 μB/cell
- Uncorrected energy: -7.714 eV/atom
- Raw formation energy: -487 meV/atom
- D(E_F): 92.36 states/eV per cell


No. 2
Material: ErCo3B2
Method: DFT, PBEsol
State: optimized geometry

```
6
Lattice="-2.378 -0.762 -1.621 -2.414 -1.204 4.105 -0.270 4.580 -1.755" Properties=species:S:1:pos:R:3 pbc="T T T"
B -0.985 2.652 0.199
B -1.699 0.724 2.152
Co -1.324 1.909 -1.688
Co -2.531 1.307 0.364
Co -2.396 -0.983 1.242
Er 0.000 0.000 0.000
```

Computed properties:
- Calculated formation energy: -0.596 eV/atom
- Space group: P6/mmm
- Magnetization: 0.00 μB/cell
- Uncorrected energy: -7.625 eV/atom
- D(E_F): 3.62 states/eV per cell


No. 3
Material: Er3Co11B4
Method: DFT, PBEsol
State: optimized geometry

```
18
Lattice="4.911 0.000 0.000 -2.455 4.253 0.000 0.000 0.000 9.655" Properties=species:S:1:pos:R:3 pbc="T T T"
B 2.455 1.418 3.369
B 0.000 2.835 3.369
B 0.000 2.835 6.286
B 2.455 1.418 6.286
Co 2.455 1.418 0.000
Co 0.000 2.835 0.000
Co 1.228 2.126 4.827
Co -1.228 2.126 4.827
Co 2.455 0.000 4.827
Co 1.228 2.126 1.933
Co -1.228 2.126 1.933
Co 2.455 0.000 1.933
Co 1.228 2.126 7.722
Co -1.228 2.126 7.722
Co 2.455 0.000 7.722
Er 0.000 0.000 0.000
Er 0.000 0.000 3.297
Er 0.000 0.000 6.358
```

Computed properties:
- Calculated formation energy: -0.436 eV/atom
- Space group: P6/mmm
- Magnetization: 6.61 μB/cell
- Uncorrected energy: -7.545 eV/atom
- D(E_F): 18.85 states/eV per cell


No. 4
Material: ErCo4B
Method: DFT, PBEsol
State: optimized geometry

```
12
Lattice="-2.360 -1.949 3.815 -2.116 0.070 -4.409 2.714 -6.021 -1.398" Properties=species:S:1:pos:R:3 pbc="T T T"
B -0.922 -4.287 0.375
B -0.841 -3.614 -2.366
Co -2.197 -0.603 -1.668
Co -2.279 -1.276 1.074
Co -0.404 -2.696 1.508
Co -1.462 -2.661 -0.696
Co -0.283 -1.686 -2.604
Co 0.758 -5.274 0.909
Co -0.300 -5.240 -1.295
Co 0.880 -4.265 -3.203
Er 1.357 -3.010 -0.699
Er 0.000 0.000 0.000
```

Computed properties:
- Calculated formation energy: -0.352 eV/atom
- Space group: P6/mmm
- Magnetization: 6.79 μB/cell
- Uncorrected energy: -7.501 eV/atom
- D(E_F): 15.70 states/eV per cell


No. 5
Material: ErCoB4
Method: DFT, PBEsol
State: optimized geometry

```
24
Lattice="-0.133 0.455 -3.267 -2.501 -5.233 -0.627 -10.199 4.745 1.076" Properties=species:S:1:pos:R:3 pbc="T T T"
Er -2.524 -1.007 -1.705
Er -10.309 0.973 -1.113
Er -7.015 2.639 -1.015
Er -5.818 -2.673 -1.803
Co -5.170 0.263 -1.421
Co -7.663 -0.297 -1.397
Co -9.692 3.845 -0.738
Co -3.141 -3.879 -2.080
B -0.751 -0.364 -0.020
B -11.949 -0.124 0.469
B -6.543 0.560 0.344
B -6.157 -1.048 0.105
B -5.113 1.496 0.416
B -7.588 -1.984 0.033
B -10.773 2.696 0.814
B -1.928 -3.184 -0.365
B -2.009 0.788 0.192
B -10.691 -1.277 0.258
B -8.245 0.784 0.445
B -4.456 -1.272 0.004
B -3.756 0.362 0.203
B -8.944 -0.851 0.246
B -9.023 2.384 0.699
B -3.677 -2.873 -0.250
```

Computed properties:
- Calculated formation energy: -0.687 eV/atom
- Space group: Pbam
- Magnetization: 0.00 μB/cell
- Uncorrected energy: -7.475 eV/atom
- D(E_F): 8.25 states/eV per cell


No. 6
Material: ErCo2B4Rh2
Method: DFT, PBEsol
State: optimized geometry

```
18
Lattice="5.138 0.000 0.000 0.000 5.138 0.000 0.000 0.000 7.096" Properties=species:S:1:pos:R:3 pbc="T T T"
Er 2.569 0.000 1.823
Er 0.000 2.569 5.371
Co 3.860 2.569 0.766
Co 1.277 2.569 0.766
Co 2.569 3.860 4.314
Co 2.569 1.277 4.314
B 1.718 2.569 2.874
B 3.420 2.569 2.874
B 2.569 1.718 6.422
B 2.569 3.420 6.422
B 0.952 0.000 4.210
B 4.186 0.000 4.210
B 0.000 0.952 0.662
B 0.000 4.186 0.662
Rh 3.838 0.000 6.317
Rh 1.299 0.000 6.317
Rh 0.000 3.838 2.769
Rh 0.000 1.299 2.769
```

Computed properties:
- Calculated formation energy: -0.580 eV/atom
- Space group: P4_2mc
- Magnetization: 0.00 μB/cell
- Uncorrected energy: -7.774 eV/atom
- D(E_F): 10.79 states/eV per cell


No. 7
Material: CoB3F
Method: DFT, PBEsol
State: optimized geometry

```
5
Lattice="3.467 0.000 0.000 0.000 3.467 0.000 0.000 0.000 3.467" Properties=species:S:1:pos:R:3 pbc="T T T"
B 0.000 1.734 0.000
B 0.000 0.000 1.734
B 1.734 0.000 0.000
Co 1.734 1.734 1.734
F 0.000 0.000 0.000
```

Computed properties:
- Space group: Pm-3m
- Magnetization: 0.00 μB/cell
- Uncorrected energy: -4.397 eV/atom
- Raw formation energy: 1746 meV/atom
- D(E_F): 2.53 states/eV per cell


No. 8
Material: CoBO2F
Method: DFT, PBEsol
State: optimized geometry

```
5
Lattice="3.589 0.000 0.000 0.000 3.589 0.000 0.000 0.000 3.971" Properties=species:S:1:pos:R:3 pbc="T T T"
B 1.794 1.794 1.986
Co 0.000 0.000 0.000
O 0.000 1.794 0.000
O 1.794 0.000 0.000
F 0.000 0.000 1.986
```

Computed properties:
- Space group: P4/mmm
- Magnetization: 2.98 μB/cell
- Uncorrected energy: -5.329 eV/atom
- Raw formation energy: 107 meV/atom
- D(E_F): 2.33 states/eV per cell


No. 9
Material: CoBO2F
Method: DFT, PBEsol
State: optimized geometry

```
5
Lattice="-2.886 -0.479 1.244 0.204 -3.321 -0.805 1.421 -0.651 3.046" Properties=species:S:1:pos:R:3 pbc="T T T"
B 0.000 0.000 0.000
Co -0.630 -2.225 1.742
O 0.710 -0.325 1.523
O 0.102 -1.661 -0.402
F -1.443 -0.239 0.622
```

Computed properties:
- Space group: P4/mmm
- Magnetization: 3.00 μB/cell
- Uncorrected energy: -6.140 eV/atom
- Raw formation energy: -704 meV/atom
- D(E_F): 2.67 states/eV per cell


No. 10
Material: Zn2CoBF
Method: DFT, PBEsol
State: optimized geometry

```
5
Lattice="-3.079 -1.637 2.106 -1.896 -0.920 -3.486 1.766 -3.403 -0.062" Properties=species:S:1:pos:R:3 pbc="T T T"
Zn -0.948 -0.460 -1.743
Zn -1.539 -0.818 1.053
B 0.000 0.000 0.000
Co 0.883 -1.701 -0.031
F -1.604 -2.980 -0.721
```

Computed properties:
- Space group: P4/mmm
- Magnetization: 2.17 μB/cell
- Uncorrected energy: -3.985 eV/atom
- Raw formation energy: -16 meV/atom
- D(E_F): 2.78 states/eV per cell


No. 11
Material: FeCoB2
Method: DFT, PBEsol
State: optimized geometry

```
8
Lattice="3.004 0.000 0.000 0.000 3.903 0.000 0.000 0.000 5.179" Properties=species:S:1:pos:R:3 pbc="T T T"
B 0.000 2.466 2.771
B 0.000 1.438 0.182
B 1.502 3.432 2.406
B 1.502 0.472 4.995
Co 0.000 0.496 3.513
Co 0.000 3.407 0.923
Fe 1.502 1.476 1.668
Fe 1.502 2.428 4.257
```

Computed properties:
- Calculated formation energy: -0.461 eV/atom
- ΔE to the lowest computed polymorph: 0 meV/atom
- Space group: Pmc2_1
- Magnetization: 2.04 μB/cell
- Uncorrected energy: -8.145 eV/atom
- D(E_F): 4.41 states/eV per cell


No. 12
Material: Fe2CoB2
Method: DFT, PBEsol
State: optimized geometry

```
10
Lattice="-1.075 2.530 -0.699 -4.696 -2.331 -1.217 -1.660 0.696 5.072" Properties=species:S:1:pos:R:3 pbc="T T T"
B -3.237 -0.272 3.996
B -5.158 -1.616 2.081
B -3.118 -1.364 -0.141
B -1.198 -0.019 1.774
Co 0.000 0.000 0.000
Co -3.178 -0.818 1.928
Fe -2.438 1.337 2.836
Fe -5.057 0.285 3.054
Fe -4.992 -0.442 0.320
Fe -2.373 0.610 0.102
```

Computed properties:
- Calculated formation energy: -0.341 eV/atom
- Space group: P4/mbm
- Magnetization: 8.29 μB/cell
- Uncorrected energy: -8.280 eV/atom
- D(E_F): 8.76 states/eV per cell